1.
Below is a relaxed structure of HoZrOs4, with properties calculated at the GGA-PBE level.

Calculated values
Crystal system: cubic
SG: F-43m
Energy relative to the elements, eV/atom: -0.30

Cell: 5.2959 5.2959 5.2959 Å, 60.00 60.00 60.00°
Closest atoms and distances in Å follow each position.
Sites, in units of the cell vectors:
Ho 0.0000 0.0000 0.0000  12 Os 3.11, 4 Zr 3.24
Zr 0.7500 0.7500 0.7500  12 Os 3.10, 4 Ho 3.24
Os 0.3751 0.3751 0.3751  6 Os 2.65
Os 0.3751 0.3751 0.8747  6 Os 2.65
Os 0.3751 0.8747 0.3751  6 Os 2.65
Os 0.8747 0.3751 0.3751  6 Os 2.65

2.
Below is a relaxed structure of HoZr2Os, with properties calculated at the GGA-PBE level.

Calculated values
Crystal system: cubic
SG: Fm-3m
Energy relative to the elements, eV/atom: -0.02

Cell: 4.8683 4.8683 4.8683 Å, 60.00 60.00 60.00°
Closest atoms and distances in Å follow each position.
Sites, in units of the cell vectors:
Ho 0.0000 0.0000 0.0000  8 Zr 2.98
Zr 0.2500 0.2500 0.2500  4 Ho 2.98, 4 Os 2.98
Zr 0.7500 0.7500 0.7500  4 Ho 2.98, 4 Os 2.98
Os 0.5000 0.5000 0.5000  8 Zr 2.98

3.
Below is a relaxed structure of HoZrOs2, with properties calculated at the GGA-PBE level.

Calculated values
Crystal system: cubic
SG: Fm-3m
Energy relative to the lowest polymorph listed for this composition, eV per formula unit: 0.09
Energy relative to the elements, eV/atom: -0.31

Cell: 4.7127 4.7127 4.7127 Å, 60.00 60.00 60.00°
Closest atoms and distances in Å follow each position.
Sites, in units of the cell vectors:
Ho 0.0000 0.0000 0.0000  8 Os 2.89
Zr 0.5000 0.5000 0.5000  8 Os 2.89
Os 0.2500 0.2500 0.2500  4 Zr 2.89, 4 Ho 2.89
Os 0.7500 0.7500 0.7500  4 Zr 2.89, 4 Ho 2.89

4.
Below is a relaxed structure of HoZrOs, with properties calculated at the GGA-PBE level.

Calculated values
Crystal system: tetragonal
SG: I4mm
Energy relative to the lowest polymorph listed for this composition, eV per formula unit: 0.05
Energy relative to the elements, eV/atom: -0.19

Cell: 6.3009 6.3009 6.3009 Å, 149.24 149.24 44.06°
Closest atoms and distances in Å follow each position.
Sites, in units of the cell vectors:
Ho 0.0000 0.0000 0.0000  4 Os 2.98, 1 Zr 3.30
Zr 0.2821 0.2821 0.0000  4 Os 2.79
Os 0.6559 0.6559 0.0000  4 Zr 2.79, 4 Ho 2.98

5.
Below is a relaxed structure of HoZrOs2, with properties calculated at the GGA-PBE level.

Calculated values
Crystal system: tetragonal
SG: P4/mmm
Energy relative to the lowest polymorph listed for this composition, eV per formula unit: 0.00
Energy relative to the elements, eV/atom: -0.33

Cell: 3.3220 3.3220 6.7472 Å, 90.00 90.00 90.00°
Closest atoms and distances in Å follow each position.
Sites, in units of the cell vectors:
Ho 0.0000 0.0000 0.0000  8 Os 2.96
Zr 0.0000 0.0000 0.5000  8 Os 2.83
Os 0.5000 0.5000 0.2657  4 Zr 2.83, 4 Ho 2.96, 1 Os 3.16
Os 0.5000 0.5000 0.7343  4 Zr 2.83, 4 Ho 2.96, 1 Os 3.16

6.
Below is a relaxed structure of HoZrOs, with properties calculated at the GGA-PBE level.

Calculated values
Crystal system: cubic
SG: F-43m
Energy relative to the lowest polymorph listed for this composition, eV per formula unit: 0.11
Energy relative to the elements, eV/atom: -0.18

Cell: 4.6466 4.6466 4.6466 Å, 60.00 60.00 60.00°
Closest atoms and distances in Å follow each position.
Sites, in units of the cell vectors:
Ho 0.0000 0.0000 0.0000  4 Os 2.85
Zr 0.5000 0.5000 0.5000  4 Os 2.85
Os 0.7500 0.7500 0.7500  4 Zr 2.85, 4 Ho 2.85

Number 1: VASP energy -59.83 eV/f.u.. Number 2: VASP energy -33.00 eV/f.u.. Number 3: VASP energy -36.83 eV/f.u.. Number 4: VASP energy -24.94 eV/f.u.. Number 5: VASP energy -36.92 eV/f.u.. Number 6: VASP energy -24.88 eV/f.u..